No. 1
{
  "formula": "V3Co20B6",
  "functional": "PBEsol",
  "state": "relaxed",
  "lattice_angstrom": [[0.0000, 5.1307, 5.1307], [5.1307, 0.0000, 5.1307], [5.1307, 5.1307, 0.0000]],
  "species": ["V", "V", "V", "Co", "Co", "Co", "Co", "Co", "Co", "Co", "Co", "Co", "Co", "Co", "Co", "Co", "Co", "Co", "Co", "Co", "Co", "Co", "Co", "B", "B", "B", "B", "B", "B"],
  "fractional_positions": [[0.0000, 0.0000, 0.0000], [0.2500, 0.2500, 0.2500], [0.7500, 0.7500, 0.7500], [0.0000, 0.0000, 0.3391], [0.0000, 0.0000, 0.6609], [0.0000, 0.3391, 0.0000], [0.0000, 0.3391, 0.6609], [0.0000, 0.6609, 0.0000], [0.0000, 0.6609, 0.3391], [0.1396, 0.6201, 0.6201], [0.3391, 0.0000, 0.0000], [0.3391, 0.0000, 0.6609], [0.3391, 0.6609, 0.0000], [0.3799, 0.3799, 0.3799], [0.3799, 0.3799, 0.8604], [0.3799, 0.8604, 0.3799], [0.6201, 0.1396, 0.6201], [0.6201, 0.6201, 0.1396], [0.6201, 0.6201, 0.6201], [0.6609, 0.0000, 0.0000], [0.6609, 0.0000, 0.3391], [0.6609, 0.3391, 0.0000], [0.8604, 0.3799, 0.3799], [0.2737, 0.2737, 0.7263], [0.2737, 0.7263, 0.2737], [0.2737, 0.7263, 0.7263], [0.7263, 0.2737, 0.2737], [0.7263, 0.2737, 0.7263], [0.7263, 0.7263, 0.2737]],
  "e_form_ev_per_atom": -0.328,
  "m_tot_mub_per_fu": 11.85,
  "sg": "Fm-3m"
}

No. 2
{
  "formula": "NaAg2Se2",
  "functional": "PBEsol",
  "state": "relaxed",
  "lattice_angstrom": [[4.1248, 0.0000, 0.0000], [0.0000, 4.1248, 0.0000], [0.0000, 0.0000, 12.8506]],
  "species": ["Na", "Na", "Ag", "Ag", "Ag", "Ag", "Se", "Se", "Se", "Se"],
  "fractional_positions": [[0.0000, 0.0000, 0.0000], [0.5000, 0.5000, 0.5000], [0.0000, 0.5000, 0.2500], [0.0000, 0.5000, 0.7500], [0.5000, 0.0000, 0.2500], [0.5000, 0.0000, 0.7500], [0.0000, 0.0000, 0.3830], [0.0000, 0.0000, 0.6170], [0.5000, 0.5000, 0.1170], [0.5000, 0.5000, 0.8830]],
  "e_form_raw_mev_per_atom": -321,
  "m_tot_mub_per_fu": 0.00,
  "sg": "I4/mmm"
}

No. 3
{
  "formula": "FeRe2Cl",
  "functional": "PBEsol",
  "state": "relaxed",
  "lattice_angstrom": [[2.7579, 0.0000, 0.0000], [-1.3790, 2.3884, 0.0000], [0.0000, 0.0000, 24.6802]],
  "species": ["Fe", "Fe", "Fe", "Re", "Re", "Re", "Re", "Re", "Re", "Cl", "Cl", "Cl"],
  "fractional_positions": [[0.0000, 0.0000, 0.0000], [0.3333, 0.6667, 0.6667], [0.6667, 0.3333, 0.3333], [0.0000, 0.0000, 0.2531], [0.0000, 0.0000, 0.7469], [0.3333, 0.6667, 0.4136], [0.3333, 0.6667, 0.9197], [0.6667, 0.3333, 0.0803], [0.6667, 0.3333, 0.5864], [0.0000, 0.0000, 0.5000], [0.3333, 0.6667, 0.1667], [0.6667, 0.3333, 0.8333]],
  "e_form_raw_mev_per_atom": 484,
  "de_polymorph_mev_per_atom": 0,
  "m_tot_mub_per_fu": 0.86,
  "sg": "R-3m"
}

No. 4
{
  "formula": "CoIrPt2",
  "functional": "PBEsol",
  "state": "relaxed",
  "lattice_angstrom": [[2.6984, 0.0000, 0.0000], [-1.3492, 2.3369, 0.0000], [0.0000, 0.0000, 26.1914]],
  "species": ["Co", "Co", "Co", "Ir", "Ir", "Ir", "Pt", "Pt", "Pt", "Pt", "Pt", "Pt"],
  "fractional_positions": [[0.0000, 0.0000, 0.0000], [0.3333, 0.6667, 0.6667], [0.6667, 0.3333, 0.3333], [0.0000, 0.0000, 0.2577], [0.3333, 0.6667, 0.9243], [0.6667, 0.3333, 0.5910], [0.0000, 0.0000, 0.5032], [0.0000, 0.0000, 0.7461], [0.3333, 0.6667, 0.1699], [0.3333, 0.6667, 0.4127], [0.6667, 0.3333, 0.0794], [0.6667, 0.3333, 0.8365]],
  "e_form_ev_per_atom": 0.015,
  "de_polymorph_mev_per_atom": 13,
  "m_tot_mub_per_fu": 1.93,
  "sg": "R3m"
}

No. 5
{
  "formula": "CaSi2As2",
  "functional": "PBEsol",
  "state": "relaxed",
  "lattice_angstrom": [[4.9261, 0.0000, 0.0000], [0.0000, 4.9261, 0.0000], [0.0000, 0.0000, 8.1560]],
  "species": ["Ca", "Ca", "Si", "Si", "Si", "Si", "As", "As", "As", "As"],
  "fractional_positions": [[0.0000, 0.0000, 0.0000], [0.5000, 0.5000, 0.5000], [0.0000, 0.0000, 0.3504], [0.0000, 0.0000, 0.6496], [0.5000, 0.5000, 0.1496], [0.5000, 0.5000, 0.8504], [0.0000, 0.5000, 0.2500], [0.0000, 0.5000, 0.7500], [0.5000, 0.0000, 0.2500], [0.5000, 0.0000, 0.7500]],
  "e_form_raw_mev_per_atom": -271,
  "m_tot_mub_per_fu": 0.00,
  "sg": "I4/mmm"
}

No. 6
{
  "formula": "Cd3Hg5",
  "functional": "PBEsol",
  "state": "relaxed",
  "lattice_angstrom": [[8.5347, 0.0000, 0.0000], [-4.2673, 7.3912, 0.0000], [0.0000, 0.0000, 5.8030]],
  "species": ["Cd", "Cd", "Cd", "Cd", "Cd", "Cd", "Hg", "Hg", "Hg", "Hg", "Hg", "Hg", "Hg", "Hg", "Hg", "Hg"],
  "fractional_positions": [[0.0000, 0.4039, 0.2500], [0.0000, 0.5961, 0.7500], [0.4039, 0.0000, 0.2500], [0.4039, 0.4039, 0.7500], [0.5961, 0.0000, 0.7500], [0.5961, 0.5961, 0.2500], [0.0000, 0.2166, 0.7500], [0.0000, 0.7834, 0.2500], [0.2166, 0.0000, 0.7500], [0.2166, 0.2166, 0.2500], [0.3333, 0.6667, 0.0000], [0.3333, 0.6667, 0.5000], [0.6667, 0.3333, 0.0000], [0.6667, 0.3333, 0.5000], [0.7834, 0.0000, 0.2500], [0.7834, 0.7834, 0.7500]],
  "e_form_ev_per_atom": 0.020,
  "de_polymorph_mev_per_atom": 18,
  "m_tot_mub_per_fu": 0.00,
  "sg": "P6_3/mcm"
}

No. 7
{
  "formula": "Ti3MoPd",
  "functional": "PBEsol",
  "state": "relaxed",
  "lattice_angstrom": [[4.5798, 0.0000, 0.0000], [0.0000, 4.5798, 0.0000], [0.0000, 0.0000, 4.5798]],
  "species": ["Ti", "Ti", "Ti", "Mo", "Pd"],
  "fractional_positions": [[0.0000, 0.0000, 0.5000], [0.0000, 0.5000, 0.0000], [0.5000, 0.0000, 0.0000], [0.0000, 0.0000, 0.0000], [0.5000, 0.5000, 0.5000]],
  "e_form_ev_per_atom": 0.825,
  "m_tot_mub_per_fu": 0.00,
  "sg": "Pm-3m"
}

No. 8
{
  "formula": "KAg2Au",
  "functional": "PBEsol",
  "state": "relaxed",
  "lattice_angstrom": [[2.8468, 0.0000, 0.0000], [0.0000, 4.2254, 0.0000], [0.0000, 0.0000, 7.2571]],
  "species": ["K", "Ag", "Ag", "Au"],
  "fractional_positions": [[0.0000, 0.0000, 0.0000], [0.5000, 0.5000, 0.3121], [0.5000, 0.5000, 0.6879], [0.0000, 0.0000, 0.5000]],
  "e_form_ev_per_atom": 0.116,
  "de_polymorph_mev_per_atom": 0,
  "m_tot_mub_per_fu": 0.00,
  "sg": "Pmmm"
}

Q: Which formula does entry 3 have?
A: FeRe2Cl